This record from Alexandria via LeMat-Bulk describes LiLaZn4 after structural relaxation. The functional is PBE-GGA.

The structure in POSCAR format:
```
LiLaZn4
1.0
-1.352 -0.614 3.760
5.845 -3.815 1.478
3.641 6.496 2.371
Zn Li La
8 2 2
direct
0.000 0.000 0.500 Zn
0.500 0.282 0.947 Zn
0.500 0.282 0.553 Zn
0.500 0.718 0.447 Zn
0.000 0.000 0.000 Zn
0.500 0.718 0.053 Zn
0.500 0.947 0.750 Zn
0.500 0.053 0.250 Zn
0.000 0.806 0.250 Li
0.000 0.194 0.750 Li
0.000 0.386 0.250 La
0.000 0.614 0.750 La
```

Computed properties:
Energy relative to the elements ... -4.4 kcal/mol of atoms
Size of the total moment ... 0.00 μB per cell
Energy above the lowest structure with this stoichiometry ... 45 meV per atom